No. 1
Here is a PBEsol-optimized structure of TiBeF3 from the Alexandria database. Energies are from meta-GGA SCAN.

## Properties
total DFT energy (no corrections): -8.278 eV per atom
calculated density: 3.89 Mg/m³
ΔE_f (raw): -2078 meV/atom

a = 3.6505 Å, b = 3.6505 Å, c = 3.6505 Å
α = 90.00°, β = 90.00°, γ = 90.00°
With the nearest neighbours (Å) after each atom.
Atoms (fractional coordinates):
Ti1 0.0000 0.0000 0.0000  12 F 2.58
Be1 0.5000 0.5000 0.5000  6 F 1.83
F1 0.0000 0.5000 0.5000  2 Be 1.83
F2 0.5000 0.0000 0.5000  2 Be 1.83
F3 0.5000 0.5000 0.0000  2 Be 1.83

No. 2
Here is a PBEsol-optimized structure of Ti2BeF from the Alexandria database. Energies are from meta-GGA SCAN.

## Properties
total DFT energy (no corrections): -10.337 eV per atom
calculated density: 4.16 Mg/m³
ΔE_f (raw): -349 meV/atom

a = 4.1193 Å, b = 4.1193 Å, c = 4.1193 Å
α = 60.00°, β = 60.00°, γ = 60.00°
With the nearest neighbours (Å) after each atom.
Atoms (fractional coordinates):
Ti1 0.2500 0.2500 0.2500  4 F 2.52, 4 Be 2.52
Ti2 0.7500 0.7500 0.7500  4 F 2.52, 4 Be 2.52
Be1 0.0000 0.0000 0.0000  8 Ti 2.52
F1 0.5000 0.5000 0.5000  8 Ti 2.52